A plane-wave DFT calculation with PBE was carried out for an optimized crystal structure of Sm8FeHg2.

Computed properties:
Formation enthalpy at 0 K, eV per atom: -0.079
Crystal system: orthorhombic

```
data_Sm8FeHg2
_symmetry_space_group_name_H-M 'I m m m'
_symmetry_Int_Tables_number 71
_symmetry_space_group_name_Hall '-I 2 2'
_cell_length_a 5.598
_cell_length_b 6.936
_cell_length_c 16.077
_cell_angle_alpha 90.00
_cell_angle_beta 90.00
_cell_angle_gamma 90.00
loop_
_atom_site_label
_atom_site_type_symbol
_atom_site_fract_x
_atom_site_fract_y
_atom_site_fract_z
Sm1 Sm 0.000 0.000 0.198
Sm2 Sm 0.000 0.238 0.380
Sm3 Sm 0.000 0.242 0.000
Fe1 Fe 0.000 0.500 0.500
Hg1 Hg 0.000 0.500 0.185
```

A plane-wave DFT calculation with PBE was carried out for an optimized crystal structure of HoPu2U3P6.

Computed properties:
Formation enthalpy at 0 K, eV per atom: -1.141
Crystal system: monoclinic

```
data_HoPu2U3P6
_symmetry_space_group_name_H-M 'C 1 2/m 1'
_symmetry_Int_Tables_number 12
_symmetry_space_group_name_Hall '-C 2y'
_cell_length_a 6.835
_cell_length_b 11.845
_cell_length_c 6.942
_cell_angle_alpha 90.00
_cell_angle_beta 109.17
_cell_angle_gamma 90.00
loop_
_atom_site_label
_atom_site_type_symbol
_atom_site_fract_x
_atom_site_fract_y
_atom_site_fract_z
Ho1 Ho 0.000 0.000 0.000
Pu1 Pu 0.000 0.333 0.000
U1 U 0.000 0.166 0.500
U2 U 0.000 0.500 0.500
P1 P 0.248 0.333 0.746
P2 P 0.250 0.000 0.746
```

A plane-wave DFT calculation with PBE was carried out for an optimized crystal structure of TlZn2Cl.

Computed properties:
Crystal system: orthorhombic

```
data_TlZn2Cl
_symmetry_space_group_name_H-M 'C m m m'
_symmetry_Int_Tables_number 65
_symmetry_space_group_name_Hall '-C 2 2'
_cell_length_a 3.807
_cell_length_b 6.069
_cell_length_c 8.301
_cell_angle_alpha 90.00
_cell_angle_beta 90.00
_cell_angle_gamma 90.00
loop_
_atom_site_label
_atom_site_type_symbol
_atom_site_fract_x
_atom_site_fract_y
_atom_site_fract_z
Tl1 Tl 0.000 0.000 0.000
Zn1 Zn 0.000 0.500 0.269
Cl1 Cl 0.000 0.000 0.500
```

In the order shown, the computed VASP energy values come out to -4.34, -9.44, -1.76 eV/atom.